The following is a DFT calculation (PBE) of an optimized crystal structure of Rb3Pa3CuSe8.

Cell and atoms, written as POSCAR:
```
Rb3Pa3CuSe8
1.0
6.9113 -4.3738 0.0000
6.9113 4.3738 0.0000
-4.2070 0.0000 8.0983
Rb Pa Cu Se
3 3 1 8
Cartesian
0.0000 0.0000 0.0000
3.4556 2.1869 0.0000
3.4556 -2.1869 0.0000
1.3521 2.1869 4.0492
1.3521 -2.1869 4.0492
4.8077 0.0000 4.0492
-2.1035 0.0000 4.0492
-0.0691 0.0000 5.3777
3.5764 1.9351 5.7232
2.4033 0.0000 2.4311
6.0391 1.9351 2.3752
3.5764 -1.9351 5.7232
7.2121 0.0000 5.6672
6.0391 -1.9351 2.3752
9.6846 0.0000 2.7206
```

Values from the calculation:
Its formation energy from raw total energies is -1.183 eV per atom. Its symmetry is C2/m, No. 12. Its size of the total moment is 3.01 μB per cell. The calculated density comes out at 5.58 g/cm³. For the total energy, the calculation gives -81.11 eV/cell. As for the density of states at the Fermi level: 0.940 states/eV per atom.